This record from Alexandria via LeMat-Bulk describes crystalline Ac4BiS2N2 at its relaxed geometry. The functional is PBE-GGA.

Values from the calculation:
For the energy relative to the elements, uncorrected, the calculation gives -1.408 eV per atom. Its space-group type is C2/m (12).

```
Ac4BiS2N2
1.0
8.4714 -2.0076 0.0000
8.4714 2.0076 0.0000
-4.5341 0.0000 8.5138
Ac Bi S N
4 1 2 2
Direct
0.0203 0.0203 0.3208 Ac
0.2642 0.2642 0.6777 Ac
0.7358 0.7358 0.3223 Ac
0.9797 0.9797 0.6792 Ac
0.5000 0.5000 0.0000 Bi
0.3918 0.3918 0.3588 S
0.6082 0.6082 0.6412 S
0.1728 0.1728 0.3900 N
0.8272 0.8272 0.6100 N
```

=====

This record from Alexandria via LeMat-Bulk describes crystalline TcHSe2 at its relaxed geometry. The functional is PBE-GGA.

Values from the calculation:
Its space-group type is Pm (6).

```
TcHSe2
1.0
6.5672 0.0000 0.0000
0.0000 3.2813 0.0000
-2.8319 0.0000 6.6074
Tc H Se
2 2 4
Direct
0.0000 0.0000 0.0000 Tc
0.3663 0.5000 0.0184 Tc
0.5550 0.0000 0.4502 H
0.8692 0.0000 0.1544 H
0.1616 0.0000 0.7367 Se
0.1939 0.5000 0.2635 Se
0.6336 0.0000 0.2780 Se
0.6723 0.5000 0.8444 Se
```

=====

This record from Alexandria via LeMat-Bulk describes crystalline Mg2ScBeO at its relaxed geometry. The functional is PBE-GGA.

Values from the calculation:
For the energy relative to the elements, uncorrected, the calculation gives -0.889 eV per atom. Its space-group type is P4/mmm (123).

```
Mg2ScBeO
1.0
4.1740 0.0000 0.0000
0.0000 4.1740 0.0000
0.0000 0.0000 4.3643
Mg Sc Be O
2 1 1 1
Direct
0.0000 0.5000 0.0000 Mg
0.5000 0.0000 0.0000 Mg
0.0000 0.0000 0.5000 Sc
0.5000 0.5000 0.5000 Be
0.0000 0.0000 0.0000 O
```

=====

This record from Alexandria via LeMat-Bulk describes crystalline AcHo3Ir8 at its relaxed geometry. The functional is PBE-GGA.

Values from the calculation:
Its space-group type is P3m1 (156).

```
AcHo3Ir8
1.0
5.4073 0.0000 0.0000
-2.7037 4.6829 0.0000
0.0000 0.0000 8.8173
Ac Ho Ir
1 3 8
Direct
0.0000 0.0000 0.0000 Ac
0.0000 0.0000 0.3685 Ho
0.6667 0.3333 0.4989 Ho
0.6667 0.3333 0.8594 Ho
0.1644 0.3287 0.6774 Ir
0.1644 0.8356 0.6774 Ir
0.3333 0.6667 0.4328 Ir
0.3333 0.6667 0.9313 Ir
0.5035 0.0069 0.1896 Ir
0.5035 0.4965 0.1896 Ir
0.6713 0.8356 0.6774 Ir
0.9931 0.4965 0.1896 Ir
```

=====

This record from Alexandria via LeMat-Bulk describes crystalline RbAgW3 at its relaxed geometry. The functional is PBE-GGA.

Values from the calculation:
Its space-group type is Pm-3m (221).

```
RbAgW3
1.0
5.0587 0.0000 0.0000
0.0000 5.0587 0.0000
0.0000 0.0000 5.0587
Rb Ag W
1 1 3
Direct
0.0000 0.0000 0.0000 Rb
0.5000 0.5000 0.5000 Ag
0.0000 0.5000 0.5000 W
0.5000 0.0000 0.5000 W
0.5000 0.5000 0.0000 W
```

=====

This record from Alexandria via LeMat-Bulk describes crystalline Ta2TiPd6 at its relaxed geometry. The functional is PBE-GGA.

Values from the calculation:
Its space-group type is C2/m (12).

```
Ta2TiPd6
1.0
7.0203 -3.8275 0.0000
7.0203 3.8275 0.0000
-0.5485 0.0000 2.7522
Ta Ti Pd
2 1 6
Direct
0.1664 0.1664 0.1672 Ta
0.8336 0.8336 0.8328 Ta
0.5000 0.5000 0.5000 Ti
0.1504 0.5171 0.3335 Pd
0.1873 0.8127 0.0000 Pd
0.4829 0.8496 0.6665 Pd
0.5171 0.1504 0.3335 Pd
0.8127 0.1873 0.0000 Pd
0.8496 0.4829 0.6665 Pd
```

=====

This record from Alexandria via LeMat-Bulk describes crystalline ReTc4Ag at its relaxed geometry. The functional is PBE-GGA.

Values from the calculation:
Its space-group type is F-43m (216).

```
ReTc4Ag
1.0
0.0000 3.6045 3.6045
3.6045 0.0000 3.6045
3.6045 3.6045 0.0000
Re Tc Ag
1 4 1
Direct
0.0000 0.0000 0.0000 Re
0.3757 0.3757 0.3757 Tc
0.3757 0.3757 0.8728 Tc
0.3757 0.8728 0.3757 Tc
0.8728 0.3757 0.3757 Tc
0.7500 0.7500 0.7500 Ag
```

=====

This record from Alexandria via LeMat-Bulk describes crystalline Tb2TmAg at its relaxed geometry. The functional is PBE-GGA.

Values from the calculation:
Its space-group type is Fm-3m (225).

```
Tb2TmAg
1.0
0.0000 3.7918 3.7918
3.7918 0.0000 3.7918
3.7918 3.7918 0.0000
Tb Tm Ag
2 1 1
Direct
0.2500 0.2500 0.2500 Tb
0.7500 0.7500 0.7500 Tb
0.0000 0.0000 0.0000 Tm
0.5000 0.5000 0.5000 Ag
```

=====

This record from Alexandria via LeMat-Bulk describes crystalline SrY3Tl4 at its relaxed geometry. The functional is PBE-GGA.

Values from the calculation:
Its space-group type is P4/mmm (123).

```
SrY3Tl4
1.0
5.4939 0.0000 0.0000
0.0000 5.4939 0.0000
0.0000 0.0000 7.6712
Sr Y Tl
1 3 4
Direct
0.0000 0.0000 0.0000 Sr
0.0000 0.0000 0.5000 Y
0.5000 0.5000 0.0000 Y
0.5000 0.5000 0.5000 Y
0.0000 0.5000 0.2593 Tl
0.0000 0.5000 0.7407 Tl
0.5000 0.0000 0.2593 Tl
0.5000 0.0000 0.7407 Tl
```

=====

This record from Alexandria via LeMat-Bulk describes crystalline Sc2GeSbAu at its relaxed geometry. The functional is PBE-GGA.

Values from the calculation:
For the energy relative to the elements, uncorrected, the calculation gives 0.270 eV per atom. Its space-group type is P4/mmm (123).

```
Sc2GeSbAu
1.0
5.3486 0.0000 0.0000
0.0000 5.3486 0.0000
0.0000 0.0000 5.0610
Sc Ge Sb Au
2 1 1 1
Direct
0.0000 0.5000 0.0000 Sc
0.5000 0.0000 0.0000 Sc
0.0000 0.0000 0.5000 Ge
0.5000 0.5000 0.0000 Sb
0.5000 0.5000 0.5000 Au
```

=====

This record from Alexandria via LeMat-Bulk describes crystalline Ac5PmNd2 at its relaxed geometry. The functional is PBE-GGA.

Values from the calculation:
Its space-group type is Pbam (55).

```
Ac5PmNd2
1.0
7.6995 0.0000 0.0000
0.0000 15.4038 0.0000
0.0000 0.0000 5.5312
Ac Pm Nd
10 2 4
Direct
0.0000 0.0000 0.0000 Ac
0.0093 0.2534 0.0000 Ac
0.2421 0.6219 0.5000 Ac
0.2579 0.1219 0.5000 Ac
0.4907 0.7534 0.0000 Ac
0.5000 0.5000 0.0000 Ac
0.5093 0.2466 0.0000 Ac
0.7421 0.8781 0.5000 Ac
0.7579 0.3781 0.5000 Ac
0.9907 0.7466 0.0000 Ac
0.0000 0.5000 0.0000 Pm
0.5000 0.0000 0.0000 Pm
0.2448 0.8762 0.5000 Nd
0.2552 0.3762 0.5000 Nd
0.7448 0.6238 0.5000 Nd
0.7552 0.1238 0.5000 Nd
```

=====

This record from Alexandria via LeMat-Bulk describes crystalline LaCd2Co at its relaxed geometry. The functional is PBE-GGA.

Values from the calculation:
Its space-group type is I4/mmm (139).

```
LaCd2Co
1.0
-2.1316 2.1316 4.9158
2.1316 -2.1316 4.9158
2.1316 2.1316 -4.9158
La Cd Co
1 2 1
Direct
0.0000 0.0000 0.0000 La
0.2500 0.7500 0.5000 Cd
0.7500 0.2500 0.5000 Cd
0.5000 0.5000 0.0000 Co
```

=====

This record from Alexandria via LeMat-Bulk describes crystalline CaMgSn at its relaxed geometry. The functional is PBE-GGA.

Values from the calculation:
Its space-group type is P2_1/m (11).

```
CaMgSn
1.0
7.7397 0.0000 0.0000
0.0000 4.7242 0.0000
-0.0206 0.0000 13.3694
Ca Mg Sn
6 6 6
Direct
0.0119 0.2500 0.2962 Ca
0.3432 0.7500 0.9146 Ca
0.4778 0.7500 0.6234 Ca
0.5222 0.2500 0.3766 Ca
0.6568 0.2500 0.0854 Ca
0.9881 0.7500 0.7038 Ca
0.0085 0.2500 0.9069 Mg
0.1486 0.2500 0.5402 Mg
0.3532 0.7500 0.2071 Mg
0.6468 0.2500 0.7929 Mg
0.8514 0.7500 0.4598 Mg
0.9915 0.7500 0.0931 Mg
0.2357 0.2500 0.0873 Sn
0.2357 0.7500 0.4201 Sn
0.2734 0.2500 0.7492 Sn
0.7266 0.7500 0.2508 Sn
0.7643 0.2500 0.5799 Sn
0.7643 0.7500 0.9127 Sn
```

=====

This record from Alexandria via LeMat-Bulk describes crystalline La3Pm2ScSe6 at its relaxed geometry. The functional is PBE-GGA.

Values from the calculation:
For the energy relative to the elements, uncorrected, the calculation gives -1.862 eV per atom. Its space-group type is C2/m (12).

```
La3Pm2ScSe6
1.0
9.1544 -2.0947 0.0000
9.1544 2.0947 0.0000
-1.9642 0.0000 8.2263
La Pm Sc Se
3 2 1 6
Direct
0.0000 0.0000 0.0000 La
0.3294 0.3294 0.6647 La
0.6706 0.6706 0.3353 La
0.3336 0.3336 0.1668 Pm
0.6664 0.6664 0.8332 Pm
0.0000 0.0000 0.5000 Sc
0.1564 0.1564 0.5831 Se
0.1681 0.1681 0.0790 Se
0.5004 0.5004 0.2721 Se
0.4996 0.4996 0.7279 Se
0.8319 0.8319 0.9210 Se
0.8436 0.8436 0.4169 Se
```

=====

This record from Alexandria via LeMat-Bulk describes crystalline BaSr2Y at its relaxed geometry. The functional is PBE-GGA.

Values from the calculation:
Its space-group type is Fm-3m (225).

```
BaSr2Y
1.0
0.0000 4.5654 4.5654
4.5654 0.0000 4.5654
4.5654 4.5654 0.0000
Ba Sr Y
1 2 1
Direct
0.0000 0.0000 0.0000 Ba
0.2500 0.2500 0.2500 Sr
0.7500 0.7500 0.7500 Sr
0.5000 0.5000 0.5000 Y
```

=====

This record from Alexandria via LeMat-Bulk describes crystalline PrZnSe2O8 at its relaxed geometry. The functional is PBE-GGA.

Values from the calculation:
For the energy relative to the elements, uncorrected, the calculation gives -1.241 eV per atom. Its space-group type is P-3m1 (164).

```
PrZnSe2O8
1.0
5.5685 0.0000 0.0000
-2.7843 4.8225 0.0000
0.0000 0.0000 6.9325
Pr Zn Se O
1 1 2 8
Direct
0.0000 0.0000 0.0000 Pr
0.0000 0.0000 0.5000 Zn
0.3333 0.6667 0.2301 Se
0.6667 0.3333 0.7699 Se
0.1570 0.3139 0.2892 O
0.1570 0.8430 0.2892 O
0.3139 0.1570 0.7108 O
0.3333 0.6667 0.9869 O
0.6667 0.3333 0.0131 O
0.6861 0.8430 0.2892 O
0.8430 0.1570 0.7108 O
0.8430 0.6861 0.7108 O
```

=====

This record from Alexandria via LeMat-Bulk describes crystalline InCo2Hg at its relaxed geometry. The functional is PBE-GGA.

Values from the calculation:
Its space-group type is C2/m (12).

```
InCo2Hg
1.0
4.3359 -1.5050 0.0000
4.3359 1.5050 0.0000
-1.2205 0.0000 5.0970
In Co Hg
1 2 1
Direct
0.0000 0.0000 0.0000 In
0.2501 0.2501 0.7926 Co
0.7499 0.7499 0.2074 Co
0.5000 0.5000 0.5000 Hg
```

=====

This record from Alexandria via LeMat-Bulk describes crystalline CePmBiSb at its relaxed geometry. The functional is PBE-GGA.

Values from the calculation:
For the energy relative to the elements, uncorrected, the calculation gives -0.762 eV per atom. Its space-group type is F-43m (216).

```
CePmBiSb
1.0
0.0000 3.9044 3.9044
3.9044 0.0000 3.9044
3.9044 3.9044 0.0000
Ce Pm Bi Sb
1 1 1 1
Direct
0.0000 0.0000 0.0000 Ce
0.5000 0.5000 0.5000 Pm
0.2500 0.2500 0.2500 Bi
0.7500 0.7500 0.7500 Sb
```

=====

This record from Alexandria via LeMat-Bulk describes crystalline Al2Cd2In at its relaxed geometry. The functional is PBE-GGA.

Values from the calculation:
Its space-group type is P4/mbm (127).

```
Al2Cd2In
1.0
8.6242 0.0000 0.0000
0.0000 8.6242 0.0000
0.0000 0.0000 2.9880
Al Cd In
4 4 2
Direct
0.1133 0.3867 0.0000 Al
0.3867 0.8867 0.0000 Al
0.6133 0.1133 0.0000 Al
0.8867 0.6133 0.0000 Al
0.1820 0.6820 0.5000 Cd
0.3180 0.1820 0.5000 Cd
0.6820 0.8180 0.5000 Cd
0.8180 0.3180 0.5000 Cd
0.0000 0.0000 0.0000 In
0.5000 0.5000 0.0000 In
```

=====

This record from Alexandria via LeMat-Bulk describes crystalline Sc2MoP at its relaxed geometry. The functional is PBE-GGA.

Values from the calculation:
Its space-group type is P4mm (99).

```
Sc2MoP
1.0
3.2360 0.0000 0.0000
0.0000 3.2360 0.0000
0.0000 0.0000 7.1748
Sc Mo P
2 1 1
Direct
0.0000 0.0000 0.0000 Sc
0.5000 0.5000 0.3565 Sc
0.0000 0.0000 0.6190 Mo
0.5000 0.5000 0.7592 P
```

=====

This record from Alexandria via LeMat-Bulk describes crystalline LiV2PdPb at its relaxed geometry. The functional is PBE-GGA.

Values from the calculation:
Its space-group type is P4/mmm (123).

```
LiV2PdPb
1.0
5.0110 0.0000 0.0000
0.0000 5.0110 0.0000
0.0000 0.0000 4.6003
Li V Pd Pb
1 2 1 1
Direct
0.0000 0.0000 0.0000 Li
0.0000 0.5000 0.5000 V
0.5000 0.0000 0.5000 V
0.5000 0.5000 0.0000 Pd
0.0000 0.0000 0.5000 Pb
```

=====

This record from Alexandria via LeMat-Bulk describes crystalline TbYCoPd at its relaxed geometry. The functional is PBE-GGA.

Values from the calculation:
Its space-group type is F-43m (216).

```
TbYCoPd
1.0
0.0000 3.4429 3.4429
3.4429 0.0000 3.4429
3.4429 3.4429 0.0000
Tb Y Co Pd
1 1 1 1
Direct
0.0000 0.0000 0.0000 Tb
0.5000 0.5000 0.5000 Y
0.2500 0.2500 0.2500 Co
0.7500 0.7500 0.7500 Pd
```

=====

This record from Alexandria via LeMat-Bulk describes crystalline Mg2SbSe at its relaxed geometry. The functional is PBE-GGA.

Values from the calculation:
For the energy relative to the elements, uncorrected, the calculation gives -0.547 eV per atom. Its space-group type is I-42d (122).

```
Mg2SbSe
1.0
-3.2781 3.2781 5.7235
3.2781 -3.2781 5.7235
3.2781 3.2781 -5.7235
Mg Sb Se
4 2 2
Direct
0.0898 0.6250 0.9648 Mg
0.3750 0.3398 0.4648 Mg
0.6602 0.1250 0.0352 Mg
0.8750 0.9102 0.5352 Mg
0.2500 0.7500 0.5000 Sb
0.5000 0.5000 0.0000 Sb
0.0000 0.0000 0.0000 Se
0.7500 0.2500 0.5000 Se
```

=====

This record from Alexandria via LeMat-Bulk describes crystalline KTaCd2 at its relaxed geometry. The functional is PBE-GGA.

Values from the calculation:
Its space-group type is Imm2 (44).

```
KTaCd2
1.0
-1.4238 2.8727 6.0079
1.4238 -2.8727 6.0079
1.4238 2.8727 -6.0079
K Ta Cd
1 1 2
Direct
0.0000 0.0000 0.0000 K
0.7133 0.2133 0.5000 Ta
0.2675 0.7675 0.5000 Cd
0.5004 0.5004 0.0000 Cd
```

=====

Computed D(E_F), in the same sequence as the records: 3.42 2.03 2.75 4.28 6.92 5.66 4.19 3.37 6.30 2.59 14.06 2.72 0.17 7.07 5.81 1.42 5.46 7.48 1.59 4.29 11.40 2.50 2.74 3.29 states/eV/f.u..
Computed VASP energy, in the same sequence as the records: -6.4326 -5.3515 -4.5300 -8.1087 -5.4067 -7.2689 -8.9892 -4.0985 -4.1736 -4.6661 -4.3240 -3.3909 -3.0917 -6.1551 -2.7446 -5.6319 -3.8638 -5.4339 -2.2504 -7.6488 -4.2792 -6.3166 -3.2462 -3.0610 eV/atom.